Record 1
Y4As2PS | PBE | optimized geometry

Cell lengths 4.0513, 7.0045, 7.0111 Å; angles 70.60, 90.00, 90.00 degrees
Atoms (fractional coordinates):
Y: 0.0000 0.7475 0.7471
Y: 0.0000 0.2525 0.2529
Y: 0.5000 0.7448 0.2549
Y: 0.5000 0.2552 0.7451
As: 0.0000 0.0000 0.0000
As: 0.5000 0.0000 0.5000
P: 0.0000 0.5000 0.5000
S: 0.5000 0.5000 0.0000

total magnetic moment	0.00	μB/f.u.
raw formation energy	-1.73	eV per atom
calculated total energy	-7.314	eV/atom

---

Record 2
Y6As3PS2 | PBE | optimized geometry

Cell lengths 4.0485, 8.0751, 9.0387 Å; angles 102.82, 102.94, 90.00 degrees
Atoms (fractional coordinates):
Y: 0.3360 0.9184 0.6721
Y: 0.6659 0.5832 0.3317
Y: 0.6640 0.0816 0.3279
Y: 0.0000 0.2438 0.0001
Y: 0.0000 0.7562 0.9999
Y: 0.3341 0.4168 0.6683
As: 0.5000 0.5000 0.0000
As: 0.8320 0.1675 0.6639
As: 0.1680 0.8325 0.3361
P: 0.5000 0.0000 0.0000
S: 0.8323 0.6646 0.6646
S: 0.1677 0.3354 0.3354

total magnetic moment	0.00	μB/f.u.
raw formation energy	-1.75	eV per atom
calculated total energy	-7.287	eV/atom

---

Record 3
Y6As3P2S | PBE | optimized geometry

Cell lengths 4.0572, 8.1164, 9.0619 Å; angles 102.87, 102.94, 90.00 degrees
Atoms (fractional coordinates):
Y: 0.3329 0.9113 0.6658
Y: 0.6684 0.5792 0.3369
Y: 0.6671 0.0887 0.3342
Y: 0.0019 0.2519 0.0038
Y: 0.9981 0.7481 0.9962
Y: 0.3316 0.4208 0.6631
As: 0.5000 0.5000 0.0000
As: 0.8346 0.1660 0.6693
As: 0.1654 0.8340 0.3307
P: 0.8341 0.6684 0.6682
P: 0.1659 0.3316 0.3318
S: 0.5000 0.0000 0.0000

total magnetic moment	0.00	μB/f.u.
raw formation energy	-1.69	eV per atom
calculated total energy	-7.327	eV/atom

---

Record 4
Y4AsPS2 | PBE | optimized geometry

Cell lengths 4.0048, 6.9136, 6.9453 Å; angles 70.40, 90.00, 90.00 degrees
Atoms (fractional coordinates):
Y: 0.0000 0.7482 0.7449
Y: 0.0000 0.2518 0.2551
Y: 0.5000 0.7441 0.2574
Y: 0.5000 0.2559 0.7426
As: 0.5000 0.5000 0.0000
P: 0.0000 0.5000 0.5000
S: 0.0000 0.0000 0.0000
S: 0.5000 0.0000 0.5000

total magnetic moment	0.00	μB/f.u.
raw formation energy	-1.84	eV per atom
calculated total energy	-7.360	eV/atom